Density functional theory data (PBE) for a geometry-optimized MnAg2NCl structure.

Summary:
M_tot: 5.1 μB per cell
energy relative to the elements, uncorrected: 1542 meV/atom

a b c (Å): 4.933 4.933 4.407
angles (deg): 90.00 90.00 90.00
Space group P4/mmm (No. 123)
Symmetry-distinct sites (fractional):
Mn 0.000 0.000 0.000 x1
Ag 0.000 0.500 0.500 x2
N 0.500 0.500 0.000 x1
Cl 0.000 0.000 0.500 x1